Below is LiRu2N after structural relaxation, with properties calculated at the PBEsol level.

Calculated values
Magnetic moment (μB/f.u.): 0.00
E_form (uncorrected) (eV/f.u.): 0.5

Cell: 6.5777 6.5777 4.3155 Å, 90.00 90.00 90.00°
With the nearest neighbours (Å) after each atom.
Space group I-42d (No. 122)
Inequivalent atoms, fractional coordinates:
Li 0.0000 0.0000 0.0000 [4 per cell]  2 N 2.16
Ru 0.1371 0.7500 0.6250 [8 per cell]  2 N 1.95
N 0.0000 0.0000 0.5000 [4 per cell]  4 Ru 1.95, 2 Li 2.16



Below is CrIn3Ru after structural relaxation, with properties calculated at the PBEsol level.

Calculated values
Magnetic moment (μB/f.u.): 3.72
DFT formation energy (eV per atom): 1.313

Cell: 4.8841 4.8841 4.8841 Å, 90.00 90.00 90.00°
With the nearest neighbours (Å) after each atom.
Space group Pm-3m (No. 221)
Inequivalent atoms, fractional coordinates:
Cr 0.0000 0.0000 0.0000 [1 per cell]  6 In 2.44
In 0.0000 0.0000 0.5000 [3 per cell]  2 Cr 2.44
Ru 0.5000 0.5000 0.5000 [1 per cell]  12 In 3.45



Below is InCo2Mo after structural relaxation, with properties calculated at the PBEsol level.

Calculated values
Magnetic moment (μB/f.u.): 0.00
DFT formation energy (eV per atom): 0.082

Cell: 2.7688 2.7688 7.0210 Å, 90.00 90.00 90.00°
With the nearest neighbours (Å) after each atom.
Space group P4/mmm (No. 123)
Inequivalent atoms, fractional coordinates:
In 0.0000 0.0000 0.0000 [1 per cell]  8 Co 2.70, 4 In 2.77
Co 0.5000 0.5000 0.2647 [2 per cell]  4 Mo 2.56, 4 In 2.70, 4 Co 2.77
Mo 0.0000 0.0000 0.5000 [1 per cell]  8 Co 2.56, 4 Mo 2.77



Below is BaCd3 after structural relaxation, with properties calculated at the PBEsol level.

Calculated values
Magnetic moment (μB/f.u.): 0.00
DFT formation energy (eV per atom): -0.224

Cell: 7.3720 7.3720 4.9896 Å, 90.00 90.00 120.00°
With the nearest neighbours (Å) after each atom.
Space group P6_3/mmc (No. 194)
Inequivalent atoms, fractional coordinates:
Ba 0.3333 0.6667 0.2500 [2 per cell]  12 Cd 3.52-3.70
Cd 0.1392 0.2783 0.7500 [6 per cell]  6 Cd 3.06-3.08



Below is K2LaTl after structural relaxation, with properties calculated at the PBEsol level.

Calculated values
Magnetic moment (μB/f.u.): 0.00
DFT formation energy (eV per atom): 0.152

Cell: 4.1586 5.4973 6.6164 Å, 90.00 90.00 90.00°
With the nearest neighbours (Å) after each atom.
Space group Pmmm (No. 47)
Inequivalent atoms, fractional coordinates:
K 0.0000 0.0000 0.0000 [1 per cell]  4 K 3.45
K 0.5000 0.5000 0.0000 [1 per cell]  4 K 3.45
La 0.0000 0.5000 0.5000 [1 per cell]  4 Tl 3.45
Tl 0.5000 0.0000 0.5000 [1 per cell]  4 La 3.45



Below is BeSnPt2Se after structural relaxation, with properties calculated at the PBEsol level.

Calculated values
Magnetic moment (μB/f.u.): 0.00
E_form (uncorrected) (eV/f.u.): 1.3

Cell: 4.2684 4.2684 4.8028 Å, 90.00 90.00 90.00°
With the nearest neighbours (Å) after each atom.
Space group P4/mmm (No. 123)
Inequivalent atoms, fractional coordinates:
Be 0.0000 0.0000 0.0000 [1 per cell]  4 Pt 2.13
Sn 0.0000 0.0000 0.5000 [1 per cell]  2 Be 2.40
Pt 0.0000 0.5000 0.0000 [2 per cell]  2 Be 2.13
Se 0.5000 0.5000 0.5000 [1 per cell]  4 Sn 3.02, 8 Pt 3.21



Below is TlSb2Pt after structural relaxation, with properties calculated at the PBEsol level.

Calculated values
Distance to the lowest polymorph of the same formula (kJ per mole of atoms): 41.6
Magnetic moment (μB/f.u.): 0.00
E_form (uncorrected) (eV/f.u.): 0.7

Cell: 4.7441 4.7441 7.9683 Å, 90.00 90.00 90.00°
With the nearest neighbours (Å) after each atom.
Space group I4/mmm (No. 139)
Inequivalent atoms, fractional coordinates:
Tl 0.0000 0.0000 0.0000 [2 per cell]  8 Sb 3.10, 4 Pt 3.35
Sb 0.0000 0.5000 0.2500 [4 per cell]  4 Tl 3.10, 4 Pt 3.10, 4 Sb 3.35
Pt 0.0000 0.0000 0.5000 [2 per cell]  8 Sb 3.10, 4 Tl 3.35



Below is ZnIrS2Br after structural relaxation, with properties calculated at the PBEsol level.

Calculated values
Magnetic moment (μB/f.u.): 0.02
E_form (uncorrected) (eV/f.u.): 6.0

Cell: 4.3866 4.3866 5.0398 Å, 90.00 90.00 90.00°
With the nearest neighbours (Å) after each atom.
Space group P4/mmm (No. 123)
Inequivalent atoms, fractional coordinates:
Zn 0.0000 0.0000 0.0000 [1 per cell]  4 S 2.19
Ir 0.0000 0.0000 0.5000 [1 per cell]  2 Zn 2.52
S 0.0000 0.5000 0.0000 [2 per cell]  2 Zn 2.19
Br 0.5000 0.5000 0.5000 [1 per cell]  4 Ir 3.10, 8 S 3.34



Below is ZrAu2Br after structural relaxation, with properties calculated at the PBEsol level.

Calculated values
Distance to the lowest polymorph of the same formula (kJ per mole of atoms): 0.0
Magnetic moment (μB/f.u.): 0.00
E_form (uncorrected) (eV/f.u.): -1.2

Cell: 5.2893 9.8598 3.2846 Å, 90.00 90.00 90.00°
With the nearest neighbours (Å) after each atom.
Space group Cmmm (No. 65)
Inequivalent atoms, fractional coordinates:
Zr 0.0000 0.0000 0.0000 [2 per cell]  2 Br 2.64, 4 Au 2.77
Au 0.0000 0.2268 0.5000 [4 per cell]  2 Au 2.68, 2 Zr 2.77
Br 0.0000 0.5000 0.0000 [2 per cell]  2 Zr 2.64



Below is SrMg4 after structural relaxation, with properties calculated at the PBEsol level.

Calculated values
Distance to the lowest polymorph of the same formula (kJ per mole of atoms): 3.5
Magnetic moment (μB/f.u.): 0.00
DFT formation energy (eV per atom): 0.027

Cell: 4.6276 4.6276 13.6313 Å, 90.00 90.00 90.00°
With the nearest neighbours (Å) after each atom.
Space group I4/mmm (No. 139)
Inequivalent atoms, fractional coordinates:
Sr 0.0000 0.0000 0.0000 [2 per cell]  8 Mg 3.58
Mg 0.0000 0.0000 0.3929 [4 per cell]  5 Mg 2.92-3.02
Mg 0.0000 0.5000 0.2500 [4 per cell]  8 Mg 3.02-3.27



Below is NaTc3Ge after structural relaxation, with properties calculated at the PBEsol level.

Calculated values
Magnetic moment (μB/f.u.): 2.76
DFT formation energy (eV per atom): 1.536

Cell: 4.5800 4.5800 4.5800 Å, 90.00 90.00 90.00°
With the nearest neighbours (Å) after each atom.
Space group Pm-3m (No. 221)
Inequivalent atoms, fractional coordinates:
Na 0.0000 0.0000 0.0000 [1 per cell]  12 Tc 3.24
Tc 0.0000 0.5000 0.5000 [3 per cell]  2 Ge 2.29
Ge 0.5000 0.5000 0.5000 [1 per cell]  6 Tc 2.29



Below is Li3MgSe after structural relaxation, with properties calculated at the PBEsol level.

Calculated values
Magnetic moment (μB/f.u.): 0.00
E_form (uncorrected) (eV/f.u.): -2.4

Cell: 4.8387 4.8387 4.8387 Å, 90.00 90.00 90.00°
With the nearest neighbours (Å) after each atom.
Space group Pm-3m (No. 221)
Inequivalent atoms, fractional coordinates:
Li 0.0000 0.0000 0.5000 [3 per cell]  2 Se 2.42
Mg 0.5000 0.5000 0.5000 [1 per cell]  12 Li 3.42
Se 0.0000 0.0000 0.0000 [1 per cell]  6 Li 2.42